Entry 1:
DFT (PBE) results for a geometry-optimized TaCuTe2 structure.

Summary:
Calculated volume, Å³ per atom: 25.58
Total DFT energy (no corrections), eV/atom: -5.62
SG: Imm2 (44)

Structure (POSCAR):
```
TaCuTe2
1.0
-4.3191 1.8090 6.3177
-1.8453 -2.7569 7.1299
5.1644 1.6940 -5.6833
Te Cu Ta
2 1 1
Direct
0.7415 0.2415 0.5000 Te
0.9787 0.9787 0.0000 Te
0.4511 0.4511 0.0000 Cu
0.3286 0.8286 0.5000 Ta
```

Entry 2:
DFT (PBE) results for a geometry-optimized Ag5Pd6Au structure.

Summary:
Calculated volume, Å³ per atom: 16.58
Total DFT energy (no corrections), eV/atom: -4.09
Energy above the lowest structure with this stoichiometry, kJ per mole of atoms: 2.24
ΔE_f, eV per atom: -0.03
SG: P2/m (10)

Structure (POSCAR):
```
Ag5Pd6Au
1.0
4.0687 -0.0079 0.0135
2.0225 6.0684 0.0067
-0.0265 0.0000 8.0512
Ag Pd Au
5 6 1
Direct
0.3331 0.3339 0.5000 Ag
0.6668 0.6662 0.0000 Ag
0.3332 0.3338 0.0000 Ag
0.6669 0.6661 0.5000 Ag
0.0000 0.0000 0.5000 Ag
0.8338 0.3326 0.2502 Pd
0.5000 0.0000 0.7505 Pd
0.5000 0.0000 0.2495 Pd
0.1662 0.6674 0.7498 Pd
0.8338 0.3326 0.7498 Pd
0.1662 0.6674 0.2502 Pd
0.0000 0.0000 0.0000 Au
```

Question: What is the calculated volume in the second record?
Answer: 16.58 Å³ per atom